1.
VASP calculation (GGA-PBE) on a relaxed LiCaCu4 crystal.

The structure in POSCAR format:
```
LiCaCu4
1.0
0.000 3.609 3.609
3.609 0.000 3.609
3.609 3.609 0.000
Li Ca Cu
1 1 4
Direct
0.000 0.000 0.000
0.250 0.250 0.250
0.122 0.626 0.626
0.626 0.122 0.626
0.626 0.626 0.122
0.626 0.626 0.626
```

Summary:
As for the magnetic moment: 0.0 μB/f.u. As for the formation energy: -0.69 eV per formula unit.



2.
VASP calculation (GGA-PBE) on a relaxed Ga2AsHO6 crystal.

The structure in POSCAR format:
```
Ga2AsHO6
1.0
4.394 -6.431 0.000
4.394 6.431 0.000
-1.695 0.000 3.633
Ga As H O
4 2 2 12
Direct
0.056 0.231 0.133
0.231 0.056 0.633
0.769 0.944 0.367
0.944 0.769 0.867
0.309 0.691 0.750
0.691 0.309 0.250
0.407 0.593 0.250
0.593 0.407 0.750
0.057 0.194 0.622
0.106 0.631 0.868
0.194 0.057 0.122
0.299 0.501 0.391
0.369 0.894 0.632
0.499 0.701 0.109
0.501 0.299 0.891
0.631 0.106 0.368
0.701 0.499 0.609
0.806 0.943 0.878
0.894 0.369 0.132
0.943 0.806 0.378
```

Summary:
As for the magnetic moment: 0.0 μB/f.u. The calculated total energy is -5.779 eV per atom.



3.
VASP calculation (GGA-PBE) on a relaxed PaNiPd crystal.

The structure in POSCAR format:
```
PaNiPd
1.0
3.327 0.000 0.000
0.000 3.905 0.000
0.000 0.000 8.894
Pa Ni Pd
2 2 2
Direct
0.250 0.250 0.231
0.750 0.750 0.769
0.250 0.750 0.010
0.750 0.250 0.990
0.250 0.750 0.447
0.750 0.250 0.553
```

Summary:
As for the magnetic moment: 0.0 μB/f.u. The value obtained for the relative energy among the computed polymorphs is 0.367 eV/atom. As for the formation energy: -0.47 eV per formula unit.



4.
VASP calculation (GGA-PBE) on a relaxed ZrGaAg3 crystal.

The structure in POSCAR format:
```
ZrGaAg3
1.0
5.358 0.000 0.000
0.000 5.358 0.000
0.000 0.000 5.358
Zr Ga Ag
1 1 3
Direct
0.000 0.000 0.000
0.500 0.500 0.500
0.000 0.000 0.500
0.000 0.500 0.000
0.500 0.000 0.000
```

Summary:
As for the magnetic moment: 0.8 μB/f.u. The value obtained for the relative energy among the computed polymorphs is 0.614 eV/atom. As for the formation energy: 5.57 eV per formula unit.